# 1
A plane-wave DFT calculation with PBE was carried out for a relaxed structure of ReNiBP.

a b c (Å): 2.9600 2.9600 19.5569
angles (deg): 90.00 90.00 120.00
Last column: nearest neighbours and their distance in Å.
Positions (direct):
Re 0.0000 0.0000 0.1756  3 B 2.28, 3 P 2.38
Re 0.3333 0.6667 0.8423  3 B 2.28, 3 P 2.38
Re 0.6667 0.3333 0.5089  3 B 2.28, 3 P 2.38
B 0.0000 0.0000 0.7649  3 Ni 2.05, 3 Re 2.28
B 0.3333 0.6667 0.4316  3 Ni 2.05, 3 Re 2.28
B 0.6667 0.3333 0.0983  3 Ni 2.05, 3 Re 2.28
P 0.0000 0.0000 0.9267  1 Ni 2.23, 3 Re 2.38
P 0.3333 0.6667 0.5934  1 Ni 2.23, 3 Re 2.38
P 0.6667 0.3333 0.2601  1 Ni 2.23, 3 Re 2.38
Ni 0.0000 0.0000 0.0408  3 B 2.05, 1 P 2.23
Ni 0.3333 0.6667 0.7075  3 B 2.05, 1 P 2.23
Ni 0.6667 0.3333 0.3741  3 B 2.05, 1 P 2.23

Calculated values
DFT formation energy: -165 meV/atom
space group: R3m (160)
energy: -7.745 eV/atom
polymorph energy (0 for the lowest one): 7 meV per atom
DOS(E_F): 6.90 states/eV/cell
crystal system: trigonal
total magnetic moment: 0.00 μB/f.u.

---

# 2
A plane-wave DFT calculation with PBE was carried out for a relaxed structure of Sr2MgI6.

a b c (Å): 4.6007 8.7628 11.7442
angles (deg): 107.67 90.00 105.22
Last column: nearest neighbours and their distance in Å.
Positions (direct):
Sr 0.6672 0.3344 0.8231  6 I 3.29-3.33
Sr 0.3328 0.6656 0.1769  6 I 3.29-3.33
Mg 0.0000 0.0000 0.5000  6 I 2.94-3.06
I 0.3136 0.6272 0.8858  3 Sr 3.29-3.33
I 0.6864 0.3729 0.1142  3 Sr 3.29-3.33
I 0.9791 0.9582 0.2422  1 Mg 2.94, 2 Sr 3.29
I 0.6238 0.2476 0.5299  2 Mg 3.06, 1 Sr 3.29
I 0.0209 0.0418 0.7578  1 Mg 2.94, 2 Sr 3.29
I 0.3762 0.7524 0.4701  2 Mg 3.06, 1 Sr 3.29

Calculated values
space group: C2/m (12)
energy: -3.047 eV/atom
polymorph energy (0 for the lowest one): 0 meV per atom
DOS(E_F): 0.00 states/eV/cell
crystal system: monoclinic
total magnetic moment: 0.00 μB/f.u.

---

# 3
A plane-wave DFT calculation with PBE was carried out for a relaxed structure of LaPmAg.

a b c (Å): 3.7751 3.7751 6.8974
angles (deg): 105.88 105.88 90.00
Last column: nearest neighbours and their distance in Å.
Positions (direct):
La 0.0159 0.0159 0.0318  4 Ag 3.33, 4 Pm 3.73
Ag 0.6729 0.6729 0.3457  4 Pm 3.20, 4 La 3.33
Pm 0.3112 0.3112 0.6225  4 Ag 3.20

Calculated values
DFT formation energy: -146 meV/atom
space group: I4mm (107)
energy: -4.323 eV/atom
polymorph energy (0 for the lowest one): 12 meV per atom
DOS(E_F): 4.42 states/eV/cell
crystal system: tetragonal
total magnetic moment: 0.65 μB/f.u.

---

# 4
A plane-wave DFT calculation with PBE was carried out for a relaxed structure of Pm3Pt3Rh.

a b c (Å): 5.7427 8.6394 8.6394
angles (deg): 120.00 90.00 90.00
Last column: nearest neighbours and their distance in Å.
Positions (direct):
Pm 0.7500 0.6817 0.6253  5 Pt 2.88-2.99, 1 Rh 3.20
Pm 0.7500 0.3747 0.0565  5 Pt 2.88-2.99, 1 Rh 3.20
Pm 0.7500 0.9435 0.3183  5 Pt 2.88-2.99, 1 Rh 3.20
Pm 0.2500 0.3183 0.3747  5 Pt 2.88-2.99, 1 Rh 3.20
Pm 0.2500 0.6253 0.9435  5 Pt 2.88-2.99, 1 Rh 3.20
Pm 0.2500 0.0565 0.6817  5 Pt 2.88-2.99, 1 Rh 3.20
Pt 0.2500 0.6969 0.6523  1 Rh 2.63, 4 Pm 2.88-2.93
Pt 0.2500 0.3477 0.0446  1 Rh 2.63, 4 Pm 2.88-2.93
Pt 0.2500 0.9554 0.3031  1 Rh 2.63, 4 Pm 2.88-2.93
Pt 0.7500 0.3031 0.3477  1 Rh 2.63, 4 Pm 2.88-2.93
Pt 0.7500 0.6523 0.9554  1 Rh 2.63, 4 Pm 2.88-2.93
Pt 0.7500 0.0446 0.6969  1 Rh 2.63, 4 Pm 2.88-2.93
Rh 0.2500 0.6667 0.3333  3 Pt 2.63
Rh 0.7500 0.3333 0.6667  3 Pt 2.63

Calculated values
DFT formation energy: -638 meV/atom
space group: P6_3/m (176)
energy: -6.313 eV/atom
DOS(E_F): 11.57 states/eV/cell
crystal system: hexagonal
total magnetic moment: 0.00 μB/f.u.

---

# 5
A plane-wave DFT calculation with PBE was carried out for a relaxed structure of CaY2CrPb.

a b c (Å): 5.8666 5.2795 5.8666
angles (deg): 90.00 90.00 90.00
Last column: nearest neighbours and their distance in Å.
Positions (direct):
Pb 0.0000 0.0000 0.0000  2 Cr 2.64, 4 Y 2.93
Y 0.0000 0.0000 0.5000  2 Pb 2.93
Y 0.5000 0.0000 0.0000  2 Pb 2.93
Ca 0.5000 0.5000 0.5000  8 Y 3.95, 4 Cr 4.15
Cr 0.0000 0.5000 0.0000  2 Pb 2.64

Calculated values
DFT formation energy: 532 meV/atom
space group: P4/mmm (123)
energy: -5.120 eV/atom
DOS(E_F): 5.80 states/eV/cell
crystal system: tetragonal
total magnetic moment: 3.85 μB/f.u.

---

# 6
A plane-wave DFT calculation with PBE was carried out for a relaxed structure of MnBRuRh.

a b c (Å): 4.0466 4.0466 4.0466
angles (deg): 60.00 60.00 60.00
Last column: nearest neighbours and their distance in Å.
Positions (direct):
Ru 0.2500 0.2500 0.2500  4 Mn 2.48, 4 B 2.48
B 0.5000 0.5000 0.5000  4 Rh 2.48, 4 Ru 2.48
Mn 0.0000 0.0000 0.0000  4 Ru 2.48, 4 Rh 2.48
Rh 0.7500 0.7500 0.7500  4 Mn 2.48, 4 B 2.48

Calculated values
DFT formation energy: 47 meV/atom
space group: F-43m (216)
energy: -8.072 eV/atom
DOS(E_F): 2.27 states/eV/cell
crystal system: cubic
total magnetic moment: 3.03 μB/f.u.